The following is a DFT calculation (PBE) of crystalline NbVGe at its relaxed geometry.

Summary:
- crystal system = trigonal
- VASP energy (eV/atom) = -8.006
- D(E_F) (states/eV per atom) = 0.644

Lattice parameters (Å, degrees): 2.7834 4.4302 4.4302 120.00 90.00 90.00
Last column: nearest neighbours and their distance in Å.
Element x y z (fractional)
Nb1 0.6404 0.6667 0.3333  3 V 2.72, 2 Nb 2.78, 6 Ge 2.81-3.03
Ge1 0.0562 0.0000 0.0000  3 V 2.65, 2 Ge 2.78, 3 Nb 2.81
V1 0.3034 0.3333 0.6667  3 Ge 2.65, 3 Nb 2.72, 2 V 2.78